1.
This record from Alexandria via LeMat-Bulk describes BeAgAs at its PBEsol-relaxed geometry. The functional is meta-GGA SCAN.

The value obtained for the formation energy from the elements is 0.25 eV per atom. As for the space group: P3m1, No. 156. As for the final energy: -18.384 eV per atom.

a = 2.944 Å, b = 2.944 Å, c = 5.919 Å
α = 90.00°, β = 90.00°, γ = 120.00°
Element x y z (fractional)
As: 0.333 0.667 0.629
Ag: 0.000 0.000 0.034
Be: 0.667 0.333 0.337



2.
This record from Alexandria via LeMat-Bulk describes Be3AgAs at its PBEsol-relaxed geometry. The functional is meta-GGA SCAN.

The value obtained for the formation energy from the elements is 0.89 eV per atom. As for the space group: Pm-3m, No. 221. As for the final energy: -12.037 eV per atom.

a = 4.283 Å, b = 4.283 Å, c = 4.283 Å
α = 90.00°, β = 90.00°, γ = 90.00°
Element x y z (fractional)
Be: 0.000 0.000 0.500
Be: 0.500 0.000 0.000
Be: 0.000 0.500 0.000
As: 0.500 0.500 0.500
Ag: 0.000 0.000 0.000



3.
This record from Alexandria via LeMat-Bulk describes Mg2BeAgAs at its PBEsol-relaxed geometry. The functional is meta-GGA SCAN.

The value obtained for the formation energy from the elements is 0.32 eV per atom. As for the space group: P4/mmm, No. 123. As for the final energy: -12.847 eV per atom.

a = 4.078 Å, b = 4.865 Å, c = 4.865 Å
α = 90.00°, β = 90.00°, γ = 90.00°
Element x y z (fractional)
Mg: 0.000 0.000 0.500
Mg: 0.000 0.500 0.000
As: 0.500 0.000 0.000
Be: 0.000 0.000 0.000
Ag: 0.500 0.500 0.500



Which value of formation energy from the elements does entry 1 give?
0.25 eV per atom



What is the formula in the second record?
Be3AgAs